Computed, not measured: TmGaCu after structural relaxation at the GGA-PBE level of DFT.

Cell and atoms, written as POSCAR:
```
TmGaCu
1.0
3.766 0.000 0.000
0.000 4.628 0.000
-1.883 0.000 7.326
Ga Tm Cu
2 2 2
direct
0.865 0.750 0.731 Ga
0.135 0.250 0.269 Ga
0.666 0.750 0.332 Tm
0.334 0.250 0.668 Tm
0.471 0.750 0.942 Cu
0.529 0.250 0.058 Cu
```

Values from the calculation:
Formation energy   -0.143 eV per atom
Space group   Cmcm (63)

Computed, not measured: Tm2Ga3Cu5 after structural relaxation at the GGA-PBE level of DFT.

Cell and atoms, written as POSCAR:
```
Tm2Ga3Cu5
1.0
4.206 0.000 -0.716
0.000 6.660 0.000
-0.188 0.000 11.596
Ga Cu Tm
6 10 4
direct
0.224 0.330 0.447 Ga
0.776 0.830 0.553 Ga
0.616 0.481 0.232 Ga
0.951 0.387 0.902 Ga
0.049 0.887 0.098 Ga
0.384 0.981 0.768 Ga
0.698 0.120 0.395 Cu
0.302 0.620 0.605 Cu
0.943 0.995 0.886 Cu
0.723 0.518 0.446 Cu
0.277 0.018 0.554 Cu
0.057 0.495 0.114 Cu
0.605 0.905 0.211 Cu
0.122 0.178 0.243 Cu
0.395 0.405 0.789 Cu
0.878 0.678 0.757 Cu
0.517 0.184 0.034 Tm
0.483 0.684 0.966 Tm
0.176 0.767 0.352 Tm
0.824 0.267 0.648 Tm
```

Values from the calculation:
Formation energy   -0.330 eV per atom
Space group   Cmc2_1 (36)

Computed, not measured: Tm3GaCu2 after structural relaxation at the GGA-PBE level of DFT.

Cell and atoms, written as POSCAR:
```
Tm3GaCu2
1.0
-1.072 3.198 -0.549
-2.734 -1.201 -1.660
-5.424 -0.253 9.117
Tm Ga Cu
3 1 2
direct
0.000 0.000 0.325 Tm
0.000 0.000 0.675 Tm
0.000 0.000 0.000 Tm
0.500 0.500 0.500 Ga
0.500 0.500 0.164 Cu
0.500 0.500 0.836 Cu
```

Values from the calculation:
Formation energy   -0.386 eV per atom
Space group   P4/mmm (123)

Computed, not measured: TmGa3Cu3 after structural relaxation at the GGA-PBE level of DFT.

Cell and atoms, written as POSCAR:
```
TmGa3Cu3
1.0
-2.800 1.204 -5.815
3.441 -4.910 -2.674
-4.839 -4.188 1.463
Tm Ga Cu
2 6 6
direct
0.500 0.500 0.500 Tm
0.000 0.000 0.000 Tm
0.500 0.000 0.250 Ga
0.000 0.250 0.500 Ga
0.000 0.750 0.500 Ga
0.750 0.500 0.000 Ga
0.500 0.000 0.750 Ga
0.250 0.500 0.000 Ga
0.000 0.500 0.750 Cu
0.250 0.000 0.500 Cu
0.750 0.000 0.500 Cu
0.500 0.250 0.000 Cu
0.500 0.750 0.000 Cu
0.000 0.500 0.250 Cu
```

Values from the calculation:
Formation energy   0.198 eV per atom
Space group   Pm-3n (223)

Number 1: total magnetic moment 0.00 Bohr magnetons per cell, energy -24.04 eV per cell. Number 2: total magnetic moment 0.00 Bohr magnetons per cell, energy -83.61 eV per cell. Number 3: total magnetic moment 0.00 Bohr magnetons per cell, energy -26.95 eV per cell. Number 4: total magnetic moment 0.00 Bohr magnetons per cell, energy -48.91 eV per cell.